Tb3Y8Er3 | GGA-PBE | relaxed

abc: 5.625 9.627 9.627
angles: 101.85 73.01 73.01
Fractional positions:
Tb 0.500 0.500 0.500
Tb 0.800 0.200 0.200
Tb 0.200 0.800 0.800
Y 0.658 0.119 0.564
Y 0.342 0.881 0.436
Y 0.658 0.564 0.119
Y 0.342 0.436 0.881
Y 0.841 0.763 0.555
Y 0.159 0.237 0.445
Y 0.841 0.555 0.763
Y 0.159 0.445 0.237
Er 0.500 0.000 0.000
Er 0.000 0.818 0.182
Er 0.000 0.182 0.818

## Properties
Magnetization: 0.00 μB per formula unit
Energy relative to the elements: 174 kJ/mol of formula units
Volume: 32.298 Å³/atom